1.
Dy3YTh2Sb6: optimized geometry, PBE.

Calculated values
Total magnetic moment: 0.0 μB per formula unit
Crystal system: monoclinic
Calculated volume: 30.71 Å³ per atom

abc: 4.438 8.843 9.897
angles: 102.84 102.96 90.00
Positions (direct):
Sb: 0.335 0.412 0.670
Sb: 0.334 0.923 0.667
Sb: 0.665 0.588 0.330
Sb: 0.003 0.751 0.005
Sb: 0.666 0.077 0.333
Sb: 0.997 0.249 0.995
Dy: 0.167 0.834 0.334
Dy: 0.833 0.166 0.666
Dy: 0.500 0.500 0.000
Th: 0.165 0.331 0.330
Th: 0.835 0.669 0.670
Y: 0.500 0.000 0.000

=====

2.
RbBi2Te2: optimized geometry, PBE.

Calculated values
Offset from the most stable computed form: 0.36 eV per formula unit
Total magnetic moment: 0.0 μB per formula unit
Crystal system: monoclinic
Calculated volume: 42.47 Å³ per atom

abc: 5.969 5.969 7.205
angles: 66.12 66.12 73.43
Positions (direct):
Te: 0.691 0.691 0.681
Te: 0.309 0.309 0.319
Bi: 0.740 0.260 0.500
Bi: 0.260 0.740 0.500
Rb: 0.000 0.000 0.000

=====

3.
Ce3Tl3GaS8: optimized geometry, PBE.

Calculated values
Total magnetic moment: 1.8 μB per formula unit
Crystal system: trigonal
Calculated volume: 28.53 Å³ per atom

abc: 8.101 8.104 8.865
angles: 117.22 89.99 120.00
Positions (direct):
S: 0.782 0.564 0.314
S: 0.266 0.531 0.297
S: 0.218 0.436 0.686
S: 0.782 0.031 0.314
S: 0.218 0.969 0.686
S: 0.249 0.031 0.314
S: 0.751 0.969 0.686
S: 0.734 0.469 0.703
Tl: 0.500 0.500 0.000
Tl: 0.000 0.500 0.000
Tl: 0.000 0.000 0.000
Ce: 0.000 0.500 0.500
Ce: 0.500 0.000 0.500
Ce: 0.500 0.500 0.500
Ga: 0.000 0.000 0.500

=====

Energy relative to the elements, uncorrected (eV per formula unit)
-12.83 -1.22 -18.05